(1)
Computed, not measured: a geometry-optimized Tc2GeI structure at the PBE level of DFT.

Unit cell a=4.525 b=4.525 c=4.525 alpha=60.00 beta=60.00 gamma=60.00
Positions (direct):
I1 0.500 0.500 0.500
Ge1 0.000 0.000 0.000
Tc1 0.250 0.250 0.250
Tc2 0.750 0.750 0.750

Volume: 16.4 A^3/atom
Total moment: 0.00 μB/cell
Formation energy without anion corrections: 0.60 eV/atom
ΔE to the lowest computed polymorph: 0.00 eV per formula unit

---

(2)
Computed, not measured: a geometry-optimized CaPuInAg structure at the PBE level of DFT.

Unit cell a=5.334 b=5.334 c=5.334 alpha=60.00 beta=60.00 gamma=60.00
Last column: magnetic moment on the atom in μB.
Positions (direct):
Ca1 0.500 0.500 0.500  0.01
In1 0.750 0.750 0.750  0.01
Ag1 0.250 0.250 0.250  0.02
Pu1 0.000 0.000 0.000  5.42

Formation energy from the elements: -127 meV per atom
Volume: 26.8 A^3/atom
Total moment: 5.79 μB/cell

---

(3)
Computed, not measured: a geometry-optimized SrCrPt2 structure at the PBE level of DFT.

Unit cell a=3.292 b=3.292 c=7.189 alpha=90.00 beta=90.00 gamma=90.00
Last column: magnetic moment on the atom in μB.
Positions (direct):
Cr1 0.500 0.500 0.750  2.97
Pt1 0.000 0.000 0.943  0.00
Pt2 0.000 0.000 0.557  0.00
Sr1 0.500 0.500 0.250  0.01

Formation energy from the elements: -289 meV per atom
Volume: 19.5 A^3/atom
Total moment: 3.25 μB/cell
ΔE to the lowest computed polymorph: 0.57 eV per formula unit

---

(4)
Computed, not measured: a geometry-optimized Sm2CdHPd6 structure at the PBE level of DFT.

Unit cell a=5.675 b=7.208 c=7.213 alpha=47.46 beta=65.91 gamma=90.22
Positions (direct):
Sm1 0.691 0.247 0.555
Sm2 0.309 0.753 0.445
Cd1 0.000 0.000 0.000
H1 0.500 0.500 0.000
Pd1 0.224 0.180 0.464
Pd2 0.684 0.705 0.021
Pd3 0.224 0.689 0.955
Pd4 0.776 0.311 0.045
Pd5 0.316 0.295 0.979
Pd6 0.776 0.820 0.536

Total DFT energy (no corrections): -5.062 eV per atom
Volume: 18.1 A^3/atom
Total moment: 0.00 μB/cell

---

(5)
Computed, not measured: a geometry-optimized BaZrRu2 structure at the PBE level of DFT.

Unit cell a=5.127 b=5.127 c=9.483 alpha=74.32 beta=74.32 gamma=90.00
Positions (direct):
Ru1 0.375 0.125 0.250
Ru2 0.375 0.625 0.250
Ru3 0.375 0.625 0.750
Ru4 0.875 0.625 0.750
Ba1 0.000 0.000 0.000
Ba2 0.750 0.250 0.500
Zr1 0.500 0.500 0.000
Zr2 0.250 0.750 0.500

Formation energy from the elements: 601 meV per atom
Volume: 28.8 A^3/atom
Total moment: 0.00 μB/cell
ΔE to the lowest computed polymorph: 1.89 eV per formula unit

---

(6)
Computed, not measured: a geometry-optimized PrURu4 structure at the PBE level of DFT.

Unit cell a=5.359 b=5.359 c=5.359 alpha=60.00 beta=60.00 gamma=60.00
Last column: magnetic moment on the atom in μB.
Positions (direct):
Pr1 0.000 0.000 0.000  0.05
Ru1 0.625 0.625 0.126  -0.11
Ru2 0.625 0.126 0.625  -0.11
Ru3 0.625 0.625 0.625  -0.11
Ru4 0.126 0.625 0.625  -0.11
U1 0.250 0.250 0.250  1.73

Formation energy from the elements: -59 meV per atom
Volume: 18.1 A^3/atom
Total moment: 1.55 μB/cell
ΔE to the lowest computed polymorph: 0.00 eV per formula unit